# AlCrNF2

AlCrNF2 after structural relaxation (PBE+U, Alexandria).

Values from the calculation:
* D(E_F): 1.1 states/eV/f.u.
* polymorph energy (0 for the lowest one): 695 meV per atom
* raw total energy: -5.574 eV/atom
* magnetic moment: 0.60 μB per atom
* volume: 62.6 Å³/cell

a = 3.841 Å, b = 3.841 Å, c = 4.245 Å
α = 90.00°, β = 90.00°, γ = 90.00°
Space group P4/mmm (No. 123)
Inequivalent atoms, fractional coordinates:
Al 0.000 0.000 0.000
Cr 0.500 0.500 0.500
N 0.500 0.500 0.000
F 0.000 0.500 0.500